PBE-GGA NaCd2TeOs, optimized geometry; electronic total energy = -2.631 eV per atom; DOS at the Fermi energy = 0.9677 states/eV per atom
1.0
-3.144 3.768 -1.857
-4.348 -2.413 2.466
0.867 2.851 4.319
Na Te Cd Os
1 1 2 1
Direct
0.000 0.500 0.000
0.500 0.500 0.500
0.500 0.000 0.000
0.000 0.000 0.500
0.000 0.000 0.000

=====

PBE-GGA TlIr, optimized geometry; electronic total energy = -4.207 eV per atom; DOS at the Fermi energy = 1.9947 states/eV per atom
1.0
7.528 0.000 0.000
0.000 7.528 0.000
0.000 0.000 7.528
Tl Ir
6 6
Direct
0.500 0.250 0.000
0.500 0.750 0.000
0.000 0.500 0.250
0.000 0.500 0.750
0.750 0.000 0.500
0.250 0.000 0.500
0.250 0.500 0.000
0.000 0.750 0.500
0.500 0.000 0.250
0.500 0.000 0.750
0.000 0.250 0.500
0.750 0.500 0.000

=====

PBE-GGA MgTaH, optimized geometry; electronic total energy = -5.482 eV per atom; DOS at the Fermi energy = 0.4242 states/eV per atom
1.0
-3.724 0.257 -3.524
0.070 -3.057 -0.298
-3.737 -0.449 3.724
Mg H Ta
2 2 2
Direct
0.404 0.500 0.048
0.439 0.000 0.585
0.806 0.500 0.100
0.314 0.500 0.401
0.918 0.000 0.900
0.953 0.500 0.435

=====

PBE-GGA HoFe7Co5, optimized geometry; electronic total energy = -7.724 eV per atom; DOS at the Fermi energy = 0.9013 states/eV per atom
1.0
-3.988 0.974 2.368
0.793 -0.493 6.282
-0.467 6.174 1.418
Co Fe Ho
5 7 1
Direct
0.501 0.499 0.999
0.726 0.774 0.774
0.001 0.999 0.499
0.501 0.999 0.499
0.001 0.499 0.999
0.501 0.775 0.223
0.999 0.359 0.642
0.641 0.359 0.359
0.356 0.644 0.644
0.999 0.642 0.359
0.501 0.223 0.775
0.273 0.227 0.227
0.000 0.000 0.000

=====

PBE-GGA HoGe2Pd4, optimized geometry; electronic total energy = -5.655 eV per atom; DOS at the Fermi energy = 0.5963 states/eV per atom
1.0
3.862 0.000 0.000
0.000 7.929 0.000
0.000 0.000 7.929
Ge Ho Pd
4 2 8
Direct
0.500 0.277 0.277
0.500 0.723 0.723
0.000 0.223 0.777
0.000 0.777 0.223
0.500 0.000 0.000
0.000 0.500 0.500
0.000 0.674 0.923
0.500 0.174 0.577
0.000 0.923 0.674
0.500 0.423 0.826
0.000 0.077 0.326
0.500 0.826 0.423
0.500 0.577 0.174
0.000 0.326 0.077

=====

PBE-GGA AcZn2SiO6, optimized geometry; electronic total energy = -6.374 eV per atom; DOS at the Fermi energy = 0.0175 states/eV per atom
1.0
6.643 0.318 0.330
2.476 6.758 0.837
2.476 0.586 6.785
O Si Zn Ac
12 2 4 2
Direct
0.986 0.617 0.225
0.954 0.195 0.415
0.014 0.383 0.775
0.808 0.004 0.182
0.308 0.182 0.004
0.454 0.415 0.195
0.514 0.775 0.383
0.046 0.805 0.585
0.546 0.585 0.805
0.192 0.996 0.818
0.486 0.225 0.617
0.692 0.818 0.996
0.750 0.795 0.205
0.250 0.205 0.795
0.680 0.232 0.334
0.820 0.666 0.768
0.320 0.768 0.666
0.180 0.334 0.232
0.750 0.191 0.809
0.250 0.809 0.191

=====

PBE-GGA Zr4NiIr, optimized geometry; electronic total energy = -8.633 eV per atom; DOS at the Fermi energy = 1.4182 states/eV per atom
1.0
5.187 -0.073 -1.410
-3.047 4.198 -1.410
0.038 0.073 5.375
Ni Ir Zr
1 1 4
Direct
0.500 0.500 0.000
0.000 0.000 0.000
0.086 0.914 0.500
0.914 0.414 0.828
0.414 0.586 0.500
0.586 0.086 0.172

=====

PBE-GGA CsAgTe2Se4, optimized geometry; electronic total energy = -3.219 eV per atom; DOS at the Fermi energy = 0.4694 states/eV per atom
1.0
-1.476 -3.662 -6.181
1.490 -7.197 -0.444
-6.992 -1.085 -2.039
Te Cs Se Ag
2 1 4 1
Direct
0.500 0.743 0.257
0.500 0.257 0.743
0.000 0.000 0.000
0.014 0.451 0.130
0.986 0.870 0.549
0.595 0.549 0.870
0.405 0.130 0.451
0.000 0.500 0.500

=====

PBE-GGA NiW2Au, optimized geometry; electronic total energy = -8.444 eV per atom; DOS at the Fermi energy = 1.0846 states/eV per atom
1.0
2.719 0.000 0.000
0.000 4.093 0.000
0.000 0.000 5.466
Au W Ni
1 2 1
Direct
0.500 0.500 0.250
0.000 0.000 0.981
0.000 0.000 0.519
0.500 0.500 0.750

=====

PBE-GGA KPmTeO4, optimized geometry; electronic total energy = -6.139 eV per atom; DOS at the Fermi energy = 0.0000 states/eV per atom
1.0
5.925 0.000 -0.409
0.000 6.054 0.000
-2.732 0.000 7.803
O K Te Pm
8 2 2 2
Direct
0.987 0.508 0.321
0.987 0.992 0.321
0.603 0.250 0.511
0.539 0.250 0.812
0.013 0.492 0.679
0.013 0.008 0.679
0.461 0.750 0.188
0.397 0.750 0.489
0.419 0.750 0.852
0.581 0.250 0.148
0.157 0.750 0.246
0.843 0.250 0.754
0.216 0.250 0.536
0.784 0.750 0.464

=====

PBE-GGA LiSm2Cl6, optimized geometry; electronic total energy = -4.512 eV per atom; DOS at the Fermi energy = 0.2529 states/eV per atom
1.0
3.559 0.000 0.650
1.571 6.907 1.466
-0.083 0.194 10.526
Sm Cl Li
2 6 1
Direct
0.317 0.064 0.302
0.683 0.936 0.698
0.343 0.778 0.536
0.988 0.801 0.223
0.012 0.199 0.777
0.657 0.222 0.464
0.195 0.728 0.882
0.805 0.272 0.118
0.000 0.000 0.000

=====

PBE-GGA Ba2LiCd4Ga3, optimized geometry; electronic total energy = -2.163 eV per atom; DOS at the Fermi energy = 0.5432 states/eV per atom
1.0
4.843 0.000 0.000
0.000 4.843 0.000
0.000 0.000 11.200
Cd Li Ga Ba
4 1 3 2
Direct
0.000 0.500 0.381
0.500 0.000 0.619
0.500 0.500 0.000
0.000 0.000 0.000
0.500 0.500 0.500
0.000 0.500 0.136
0.500 0.000 0.864
0.000 0.000 0.500
0.500 0.000 0.250
0.000 0.500 0.750

=====

Repeat the second record exactly.
PBE-GGA TlIr, optimized geometry; electronic total energy = -4.207 eV per atom; DOS at the Fermi energy = 1.9947 states/eV per atom
1.0
7.528 0.000 0.000
0.000 7.528 0.000
0.000 0.000 7.528
Tl Ir
6 6
Direct
0.500 0.250 0.000
0.500 0.750 0.000
0.000 0.500 0.250
0.000 0.500 0.750
0.750 0.000 0.500
0.250 0.000 0.500
0.250 0.500 0.000
0.000 0.750 0.500
0.500 0.000 0.250
0.500 0.000 0.750
0.000 0.250 0.500
0.750 0.500 0.000

=====

Q: Number 2 is which compound?
A: TlIr